# Na2V2ZnO7

An optimized crystal structure of Na2V2ZnO7 (GGA+U, Alexandria).

Results
- Raw total energy: -6.3222 eV/atom
- Symmetry: P-42_1m (113)
- Total magnetization: 0.0000 μB/atom

```
24
Lattice="-5.728 4.384 -4.319 3.425 -2.631 -7.213 -3.160 -4.124 0.004" Properties=species:S:1:pos:R:3 pbc="T T T"
O -2.297 0.413 -10.103
O -0.223 -5.043 -6.391
O -0.813 -4.612 -3.604
O -3.893 -1.946 -2.583
O -1.834 0.064 -4.119
O -3.166 -2.509 -8.943
O -4.972 -1.403 -5.810
O -2.359 -3.406 -5.716
O -1.297 -0.345 -1.428
O -1.760 0.004 -7.412
O 0.592 -2.077 -5.305
O -7.108 0.233 -5.135
O -3.498 1.364 -2.159
O -4.457 1.791 -6.225
V -1.777 0.865 -2.578
V -1.003 0.266 -8.953
V -6.603 -0.998 -6.252
V -1.542 -4.874 -5.273
Na -4.052 -0.124 -8.404
Na -0.662 -2.824 -7.458
Na -4.851 0.388 -4.071
Na -1.361 -2.181 -3.125
Zn -1.151 0.877 -5.766
Zn 0.000 0.000 0.000
```